Record 1
# Ni2Ir8Ru | the Alexandria database | PBE | optimized geometry
# Total energy   -0.601 Ry per atom
# N(E_F)   1.23 states/eV per atom
data_Ni2Ir8Ru
_chemical_formula_sum 'Ni4 Ir16 Ru2'
_symmetry_space_group_name_H-M 'I m m m'
_symmetry_Int_Tables_number 71
_symmetry_space_group_name_Hall '-I 2 2'
_cell_length_a 3.8164
_cell_length_b 7.2011
_cell_length_c 11.6438
_cell_angle_alpha 90.00
_cell_angle_beta 90.00
_cell_angle_gamma 90.00
loop_
_atom_site_label
_atom_site_type_symbol
_atom_site_fract_x
_atom_site_fract_y
_atom_site_fract_z
Ni1 Ni 0.0000 0.0000 0.1724
Ir1 Ir 0.0000 0.2281 0.0000
Ir2 Ir 0.0000 0.2616 0.3346
Ir3 Ir 0.0000 0.5000 0.1609
Ru1 Ru 0.0000 0.0000 0.5000


Record 2
# NiIr3Ru2 | the Alexandria database | PBE | optimized geometry
# Excess energy over the best structure of this formula in the dataset   8 meV/atom
# N(E_F)   1.09 states/eV per atom
data_NiIr3Ru2
_chemical_formula_sum 'Ni1 Ir3 Ru2'
_symmetry_space_group_name_H-M 'P -1'
_symmetry_Int_Tables_number 2
_symmetry_space_group_name_Hall '-P 1'
_cell_length_a 4.6632
_cell_length_b 4.6641
_cell_length_c 4.6661
_cell_angle_alpha 99.71
_cell_angle_beta 99.55
_cell_angle_gamma 119.83
loop_
_atom_site_label
_atom_site_type_symbol
_atom_site_fract_x
_atom_site_fract_y
_atom_site_fract_z
Ni1 Ni 0.0000 0.0000 0.0000
Ir1 Ir 0.1661 0.8339 0.5006
Ir2 Ir 0.5000 0.5000 0.5000
Ru1 Ru 0.3313 0.6690 0.9998


- The lowest N(E_F) belongs to which entry?
  NiIr3Ru2


- The highest N(E_F) belongs to which entry?
  Ni2Ir8Ru


- Which of these has the highest N(E_F)?
  Ni2Ir8Ru